1.
## MoAuBr (GGA-PBE)

Data for a geometry-optimized MoAuBr structure.

Results
Density of states at the Fermi level: 2.3 states/eV/cell
Total magnetization: 0.00 μB/f.u.
E_form (uncorrected): 40 kJ/mol of atoms
SG: I4mm
Energy above the most stable polymorph in this dataset: 0.089 eV/atom
Crystal system: tetragonal
Uncorrected energy: -4.85 eV/atom

a = 6.9803 Å, b = 6.9803 Å, c = 6.9803 Å
α = 154.60°, β = 154.60°, γ = 36.22°
Element x y z (fractional)
Mo1 0.6697 0.6697 0.0000
Au1 0.0376 0.0376 0.0000
Br1 0.2927 0.2927 0.0000



2.
## Mo2AuBr (GGA-PBE)

Data for a geometry-optimized Mo2AuBr structure.

Results
Density of states at the Fermi level: 4.9 states/eV/cell
Total magnetization: 0.00 μB/f.u.
E_form (uncorrected): 91 kJ/mol of atoms
SG: C2/m
Energy above the most stable polymorph in this dataset: 0.541 eV/atom
Crystal system: monoclinic
Uncorrected energy: -5.71 eV/atom

a = 5.3368 Å, b = 5.3368 Å, c = 2.8889 Å
α = 81.06°, β = 81.06°, γ = 116.53°
Element x y z (fractional)
Mo1 0.0000 0.0000 0.0000
Mo2 0.5000 0.5000 0.0000
Au1 0.5000 0.0000 0.5000
Br1 0.0000 0.5000 0.5000



3.
## Mo2AuBr (GGA-PBE)

Data for a geometry-optimized Mo2AuBr structure.

Results
Density of states at the Fermi level: 3.6 states/eV/cell
Total magnetization: 0.00 μB/f.u.
E_form (uncorrected): 86 kJ/mol of atoms
SG: Immm
Energy above the most stable polymorph in this dataset: 0.486 eV/atom
Crystal system: orthorhombic
Uncorrected energy: -5.76 eV/atom

a = 5.5480 Å, b = 5.5480 Å, c = 5.5480 Å
α = 147.86°, β = 128.93°, γ = 61.63°
Element x y z (fractional)
Mo1 0.0153 0.0153 0.0000
Mo2 0.4847 0.4847 0.0000
Au1 0.7500 0.2500 0.5000
Br1 0.2500 0.7500 0.5000